[1]
The following is a DFT calculation (PBE) of a relaxed TlIn2HgPb2 crystal.

POSCAR file:
```
TlIn2HgPb2
1.0
-4.300 3.238 -0.405
-3.524 -4.204 3.805
2.868 4.803 7.964
Hg Tl Pb In
2 2 4 4
Cartesian
-0.958 3.965 5.910
-3.689 0.240 5.121
-0.299 0.331 5.822
-2.045 -1.745 7.768
-0.572 -0.458 2.421
-0.402 0.677 9.690
-2.338 1.397 0.017
-1.240 4.084 9.859
-2.759 1.795 7.679
-1.875 2.426 3.337
-2.288 -2.481 4.463
1.308 2.693 7.655
```

Results
formation enthalpy at 0 K = 17.4 meV/atom
symmetry = Pmc2_1, No. 26



[2]
The following is a DFT calculation (PBE) of a relaxed TlIn2Hg5Pb crystal.

POSCAR file:
```
TlIn2Hg5Pb
1.0
-3.133 1.277 0.911
-1.655 -3.380 -7.690
-3.914 -14.868 7.378
In Hg Pb Tl
4 10 2 2
Cartesian
-7.602 -15.047 1.684
-5.271 -5.089 -4.254
-2.386 -6.811 1.340
-3.221 -11.085 4.458
-0.840 -1.731 -0.462
-3.254 -3.745 0.797
-2.927 -5.779 -1.965
-6.049 -12.233 3.081
-5.491 -13.389 -0.117
-4.380 -8.323 3.341
-4.063 -10.689 1.010
-2.908 -3.273 -5.409
-3.675 -2.619 -2.228
-6.595 -10.426 -1.327
-5.170 -15.469 3.900
-5.171 -7.729 -0.210
-5.434 -13.066 6.362
-4.462 -8.442 -3.512
```

Results
formation enthalpy at 0 K = 21.9 meV/atom
symmetry = Cmc2_1, No. 36



[3]
The following is a DFT calculation (PBE) of a relaxed TlInHg5Pb2 crystal.

POSCAR file:
```
TlInHg5Pb2
1.0
-3.919 -1.847 1.684
1.465 -3.748 -7.117
7.343 -9.595 6.565
Hg Pb In Tl
10 4 2 2
Cartesian
0.613 -1.668 -0.403
-1.464 -4.133 -1.525
2.269 -7.300 3.690
0.221 -4.757 -4.703
1.658 -4.829 -1.437
3.371 -10.545 2.694
-0.183 -4.057 1.540
5.105 -11.177 -0.379
4.149 -8.178 0.686
1.991 -10.538 -0.508
2.971 -4.700 1.758
4.340 -13.655 1.539
-0.523 -7.168 -2.664
5.426 -8.040 3.808
2.778 -8.048 -2.363
4.817 -10.678 5.914
0.960 -7.368 0.567
6.585 -11.293 2.939
```

Results
formation enthalpy at 0 K = 30.1 meV/atom
symmetry = Cmc2_1, No. 36



[4]
The following is a DFT calculation (PBE) of a relaxed TlIn3Hg2Pb3 crystal.

POSCAR file:
```
TlIn3Hg2Pb3
1.0
-1.600 1.558 2.745
-7.594 1.214 -5.115
1.031 -7.712 4.978
In Hg Pb Tl
3 2 3 1
Cartesian
-4.172 -4.131 -0.087
0.376 -2.809 1.813
-2.766 0.442 -1.863
-5.519 -0.982 -0.378
-2.644 -3.957 2.986
-5.989 1.608 -2.122
-0.095 -4.490 4.774
-2.879 -1.279 1.329
0.000 0.000 0.000
```

Results
formation enthalpy at 0 K = 39.2 meV/atom
symmetry = P-62m, No. 189



[5]
The following is a DFT calculation (PBE) of a relaxed Tl3In3Hg2Pb crystal.

POSCAR file:
```
Tl3In3Hg2Pb
1.0
3.442 0.000 0.000
0.000 9.339 0.000
0.000 -4.669 8.087
In Pb Hg Tl
3 1 2 3
Cartesian
0.000 2.977 5.156
0.000 3.385 0.000
0.000 -1.693 2.932
0.000 0.000 0.000
1.721 4.669 2.696
1.721 0.000 5.392
1.721 -3.197 5.537
1.721 6.393 0.000
1.721 1.473 2.551
```

Results
formation enthalpy at 0 K = 29.9 meV/atom
symmetry = P-62m, No. 189



[6]
The following is a DFT calculation (PBE) of a relaxed Tl2InHgPb4 crystal.

POSCAR file:
```
Tl2InHgPb4
1.0
3.547 0.000 0.000
0.000 11.901 -1.308
0.000 2.246 5.441
Hg Pb In Tl
1 4 1 2
Cartesian
1.774 5.950 -0.654
1.774 4.724 3.715
0.000 10.517 3.158
3.547 3.630 0.975
1.774 9.423 0.419
0.000 7.073 2.067
1.774 1.123 2.721
0.000 2.246 5.441
```

Results
formation enthalpy at 0 K = 21.8 meV/atom
symmetry = P2/m, No. 10



[7]
The following is a DFT calculation (PBE) of a relaxed Tl2InHgPb crystal.

POSCAR file:
```
Tl2InHgPb
1.0
4.361 0.000 0.000
0.000 8.510 0.241
0.000 -0.130 7.876
In Tl Hg Pb
2 4 2 2
Cartesian
1.090 3.855 2.872
3.271 4.525 5.245
1.090 0.246 1.245
3.271 1.320 3.613
1.090 7.060 4.504
3.271 8.133 6.873
1.090 2.180 5.925
3.271 6.200 2.192
3.271 2.980 0.478
1.090 5.400 7.639
```

Results
formation enthalpy at 0 K = 18.7 meV/atom
symmetry = P2_1/m, No. 11



[8]
The following is a DFT calculation (PBE) of a relaxed Tl3In2Hg2Pb4 crystal.

POSCAR file:
```
Tl3In2Hg2Pb4
1.0
-2.084 4.938 -0.933
-2.390 -3.330 3.577
7.567 5.035 9.745
In Pb Hg Tl
2 4 2 3
Cartesian
0.505 3.972 4.036
2.588 2.670 8.353
-1.258 2.799 1.766
0.844 1.510 6.108
2.248 5.132 6.281
4.351 3.843 10.624
-1.266 0.106 3.391
4.358 6.536 8.999
2.017 1.342 2.597
0.000 0.000 0.000
5.551 3.693 7.148
```

Results
formation enthalpy at 0 K = 41.7 meV/atom
symmetry = P-3m1, No. 164